Record 1
Y5CdGa2, relaxed, DFT PBE; total magnetic moment = 0.00 μB per atom; ΔE_f = -3.49 eV per formula unit; VASP energy = -42.8 eV per formula unit; density = 5.3 g/cm³; Fermi-level density of states = 7.3 states/eV/f.u.
1.0
-3.8294 3.8294 7.3845
3.8294 -3.8294 7.3845
3.8294 3.8294 -7.3845
Y Cd Ga
10 2 4
direct
0.0000 0.0000 0.0000
0.0261 0.5261 0.8392
0.1869 0.0261 0.5000
0.3131 0.8131 0.8392
0.4739 0.3131 0.5000
0.5000 0.5000 0.0000
0.5261 0.6869 0.5000
0.6869 0.1869 0.1608
0.8131 0.9739 0.5000
0.9739 0.4739 0.1608
0.2500 0.2500 0.0000
0.7500 0.7500 0.0000
0.1222 0.3778 0.5000
0.3778 0.8778 0.2555
0.6222 0.1222 0.7445
0.8778 0.6222 0.5000

---

Record 2
Y3CdGa, relaxed, DFT PBE; total magnetic moment = 0.40 μB per atom; ΔE_f = 0.11 eV per formula unit; excess energy over the best structure of this formula in the dataset = 0.389 eV/atom; VASP energy = -23.2 eV per formula unit; density = 4.6 g/cm³; Fermi-level density of states = 4.5 states/eV/f.u.
1.0
5.4609 0.0000 0.0000
0.0000 5.4609 0.0000
0.0000 0.0000 5.4609
Y Cd Ga
3 1 1
direct
0.0000 0.0000 0.5000
0.0000 0.5000 0.0000
0.5000 0.0000 0.0000
0.5000 0.5000 0.5000
0.0000 0.0000 0.0000

---

Record 3
YCdGa, relaxed, DFT PBE; total magnetic moment = 0.00 μB per atom; ΔE_f = -1.40 eV per formula unit; VASP energy = -11.8 eV per formula unit; density = 6.6 g/cm³; Fermi-level density of states = 2.1 states/eV/f.u.
1.0
3.6002 0.0000 0.0000
0.0000 4.6581 0.0000
0.0000 0.0000 8.1043
Y Cd Ga
2 2 2
direct
0.0000 0.0000 0.0000
0.0000 0.5000 0.5000
0.5000 0.0000 0.3282
0.5000 0.0000 0.6718
0.5000 0.5000 0.1593
0.5000 0.5000 0.8407

---

Record 4
YCdGa2, relaxed, DFT PBE; total magnetic moment = 0.00 μB per atom; ΔE_f = -1.75 eV per formula unit; VASP energy = -15.2 eV per formula unit; density = 6.8 g/cm³; Fermi-level density of states = 2.1 states/eV/f.u.
1.0
4.4357 0.0000 0.0000
0.0000 4.4357 0.0000
0.0000 0.0000 4.2556
Y Cd Ga
1 1 2
direct
0.0000 0.0000 0.0000
0.5000 0.5000 0.0000
0.0000 0.5000 0.5000
0.5000 0.0000 0.5000

---

Record 5
YCdGa, relaxed, DFT PBE; total magnetic moment = 0.00 μB per atom; ΔE_f = -1.11 eV per formula unit; VASP energy = -11.5 eV per formula unit; density = 6.4 g/cm³; Fermi-level density of states = 1.8 states/eV/f.u.
1.0
4.6142 0.0000 0.0000
2.2984 5.1738 0.0000
0.0010 2.2675 5.8936
Y Cd Ga
2 2 2
direct
0.0000 0.0000 0.0000
0.2842 0.4294 0.5708
0.6601 0.6780 0.8308
0.9594 0.0796 0.4733
0.3099 0.3765 0.0811
0.5909 0.8172 0.3266

---

Record 6
YCd3Ga, relaxed, DFT PBE; total magnetic moment = 0.00 μB per atom; ΔE_f = 0.92 eV per formula unit; excess energy over the best structure of this formula in the dataset = 0.000 eV/atom; VASP energy = -11.3 eV per formula unit; density = 6.2 g/cm³; Fermi-level density of states = 3.9 states/eV/f.u.
1.0
5.0946 0.0000 0.0000
0.0000 5.0946 0.0000
0.0000 0.0000 5.0946
Y Cd Ga
1 3 1
direct
0.0000 0.0000 0.0000
0.0000 0.5000 0.5000
0.5000 0.0000 0.5000
0.5000 0.5000 0.0000
0.5000 0.5000 0.5000

---

Record 7
Y2CdGa, relaxed, DFT PBE; total magnetic moment = 0.00 μB per atom; ΔE_f = 0.60 eV per formula unit; VASP energy = -16.3 eV per formula unit; density = 5.1 g/cm³; Fermi-level density of states = 4.2 states/eV/f.u.
1.0
-2.3903 2.3903 10.2145
2.3903 -2.3903 10.2145
2.3903 2.3903 -10.2145
Y Cd Ga
4 2 2
direct
0.1121 0.6250 0.9871
0.3750 0.3621 0.4871
0.6379 0.1250 0.0129
0.8750 0.8879 0.5129
0.2500 0.7500 0.5000
0.5000 0.5000 0.0000
0.0000 0.0000 0.0000
0.7500 0.2500 0.5000

---

Record 8
YZnCdGa, relaxed, DFT PBE; total magnetic moment = 0.00 μB per atom; ΔE_f = -1.27 eV per formula unit; VASP energy = -13.0 eV per formula unit; density = 6.7 g/cm³; Fermi-level density of states = 0.9 states/eV/f.u.
1.0
0.0000 3.4590 3.4590
3.4590 0.0000 3.4590
3.4590 3.4590 0.0000
Y Zn Cd Ga
1 1 1 1
direct
0.0000 0.0000 0.0000
0.7500 0.7500 0.7500
0.5000 0.5000 0.5000
0.2500 0.2500 0.2500